# Ce2GaRh (PBE-GGA, optimized geometry)
# Total energy   -5.6034 eV/atom
# Density of states at the Fermi level   24.057 states/eV per cell
# Energy of formation   -0.167 eV/f.u.
data_Ce2GaRh
_chemical_formula_sum 'Ce6 Ga3 Rh3'
_symmetry_space_group_name_H-M 'R -3 m'
_symmetry_Int_Tables_number 166
_symmetry_space_group_name_Hall '-R 3 2"'
_cell_length_a 3.0665
_cell_length_b 3.0665
_cell_length_c 32.6265
_cell_angle_alpha 90.00
_cell_angle_beta 90.00
_cell_angle_gamma 120.00
loop_
_atom_site_label
_atom_site_fract_x
_atom_site_fract_y
_atom_site_fract_z
Ce1 0.0000 0.0000 0.0952
Ga1 0.0000 0.0000 0.0000
Rh1 0.0000 0.0000 0.5000